Below is crystalline AcMnPt2O8 at its relaxed geometry, with properties calculated at the GGA+U level.

abc: 5.2837 5.2837 6.4456
angles: 90.00 90.00 120.00
Last column: nearest neighbours and their distance in Å.
Fractional coordinates of all 12 atoms:
1 Ac 0.0000 0.0000 0.5000  6 O 2.74
2 Mn 0.0000 0.0000 0.0000  6 O 1.92
3 Pt 0.6667 0.3333 0.0915  4 O 1.93-2.16
4 Pt 0.3333 0.6667 0.9085  4 O 1.93-2.16
5 O 0.9321 0.6646 0.8418  1 Mn 1.92
6 O 0.3354 0.2675 0.8418  1 Mn 1.92
7 O 0.7325 0.0679 0.8418  1 Mn 1.92
8 O 0.0679 0.3354 0.1582  1 Mn 1.92
9 O 0.6646 0.7325 0.1582  1 Mn 1.92
10 O 0.2675 0.9321 0.1582  1 Mn 1.92
11 O 0.6667 0.3333 0.3909  1 Pt 1.93
12 O 0.3333 0.6667 0.6091  1 Pt 1.93

Output
SG: P-3, No. 147
E in eV/f.u.: -72.00